{"formula": "K2Te6Au", "functional": "GGA-PBE", "state": "optimized geometry", "cell": [[-2.096, 5.226, 7.481], [2.096, -5.226, 7.481], [2.096, 5.226, -7.481]], "species": ["K", "K", "Te", "Te", "Te", "Te", "Te", "Te", "Au"], "fractional_positions": [[0.147, 0.147, 0.000], [0.853, 0.853, 0.000], [0.093, 0.320, 0.773], [0.319, 0.000, 0.319], [0.454, 0.680, 0.773], [0.546, 0.320, 0.227], [0.681, 0.000, 0.681], [0.907, 0.680, 0.227], [0.500, 0.500, 0.000]], "raw_formation_energy_ev_per_atom": -0.31, "crystal_system": "orthorhombic", "dos_at_fermi_per_ev_atom": 0.4644, "spacegroup": "Immm (71)"}


{"formula": "TlCu3Ir", "functional": "GGA-PBE", "state": "optimized geometry", "cell": [[4.736, 0.000, 0.000], [0.000, 4.736, 0.000], [0.000, 0.000, 4.736]], "species": ["Tl", "Cu", "Cu", "Cu", "Ir"], "fractional_positions": [[0.000, 0.000, 0.000], [0.000, 0.500, 0.500], [0.500, 0.000, 0.500], [0.500, 0.500, 0.000], [0.500, 0.500, 0.500]], "crystal_system": "cubic", "dos_at_fermi_per_ev_atom": 1.2058, "polymorph_energy_mev_per_atom": 0.0, "e_form_ev_per_atom": 0.849, "spacegroup": "Pm-3m (221)"}


{"formula": "Dy3ErTm8", "functional": "GGA-PBE", "state": "optimized geometry", "cell": [[-3.786, 3.786, 7.589], [3.786, -3.786, 7.589], [3.786, 3.786, -7.589]], "species": ["Dy", "Dy", "Dy", "Er", "Tm", "Tm", "Tm", "Tm", "Tm", "Tm", "Tm", "Tm"], "fractional_positions": [[0.000, 0.000, 0.000], [0.250, 0.750, 0.500], [0.750, 0.250, 0.500], [0.500, 0.500, 0.000], [0.126, 0.126, 0.501], [0.126, 0.625, 0.000], [0.375, 0.375, 0.501], [0.375, 0.874, 0.000], [0.625, 0.126, 0.000], [0.625, 0.625, 0.499], [0.874, 0.375, 0.000], [0.874, 0.874, 0.499]], "crystal_system": "tetragonal", "dos_at_fermi_per_ev_atom": 0.9696, "e_form_ev_per_atom": 0.733, "spacegroup": "I4/mmm (139)"}